Version 1
3
Lattice="4.999 0.000 0.000 -2.500 4.330 0.000 0.000 0.000 2.972" Properties=species:S:1:pos:R:3 comment="BaW2 | the Alexandria database | PBE-GGA | optimized geometry" n_ef_per_ev_atom=0.790 m_tot_mub_per_fu=0.0 spacegroup=P-3m1 pbc="T T T"
Ba 0.000 0.000 0.000
W 0.000 2.886 1.861
W 2.500 1.443 1.111



Version 2
6
Lattice="3.377 0.000 0.000 0.000 3.377 0.000 0.000 0.000 13.236" Properties=species:S:1:pos:R:3 comment="BaW2 | the Alexandria database | PBE-GGA | optimized geometry" n_ef_per_ev_atom=1.304 m_tot_mub_per_fu=0.0 spacegroup=I4/mmm pbc="T T T"
Ba 0.000 0.000 0.000
Ba 1.689 1.689 6.618
W 0.000 0.000 3.822
W 0.000 0.000 9.414
W 1.689 1.689 2.796
W 1.689 1.689 10.440



Most stable = version 2



Version 1
12
Lattice="14.929 0.000 0.000 0.000 4.150 0.000 -4.272 0.000 9.793" Properties=species:S:1:pos:R:3 comment="Ba5W | the Alexandria database | PBE-GGA | optimized geometry" n_ef_per_ev_atom=1.333 m_tot_mub_per_fu=2.6 spacegroup=C2/m pbc="T T T"
Ba 0.000 0.000 0.000
Ba 0.239 2.075 3.706
Ba -0.854 2.075 7.536
Ba 4.047 0.000 2.257
Ba 2.953 0.000 6.087
Ba 7.465 2.075 0.000
Ba 7.704 0.000 3.706
Ba 6.610 0.000 7.536
Ba 11.511 2.075 2.257
Ba 10.418 2.075 6.087
W -2.136 0.000 4.896
W 5.328 2.075 4.896



Version 2
12
Lattice="6.437 0.000 0.000 0.000 4.805 0.000 0.000 0.000 18.950" Properties=species:S:1:pos:R:3 comment="Ba5W | the Alexandria database | PBE-GGA | optimized geometry" n_ef_per_ev_atom=1.252 m_tot_mub_per_fu=2.9 spacegroup=Amm2 pbc="T T T"
Ba 0.000 0.000 0.000
Ba 0.000 0.000 4.922
Ba 0.000 2.403 9.475
Ba 0.000 2.403 14.397
Ba 3.218 0.000 2.450
Ba 3.218 0.000 8.800
Ba 3.218 0.000 15.038
Ba 3.218 2.403 5.563
Ba 3.218 2.403 11.925
Ba 3.218 2.403 18.275
W 0.000 0.000 11.936
W 0.000 2.403 2.461



Most stable = version 1



Version 1
5
Lattice="5.450 0.000 0.000 0.000 5.450 0.000 0.000 0.000 5.450" Properties=species:S:1:pos:R:3 comment="BaY3W | the Alexandria database | PBE-GGA | optimized geometry" n_ef_per_ev_atom=2.060 m_tot_mub_per_fu=0.0 spacegroup=Pm-3m pbc="T T T"
Ba 0.000 0.000 0.000
Y 0.000 0.000 2.725
Y 0.000 2.725 0.000
Y 2.725 0.000 0.000
W 2.725 2.725 2.725



Version 2
5
Lattice="5.628 0.000 0.000 0.000 5.628 0.000 0.000 0.000 5.628" Properties=species:S:1:pos:R:3 comment="BaY3W | the Alexandria database | PBE-GGA | optimized geometry" n_ef_per_ev_atom=0.928 m_tot_mub_per_fu=0.0 spacegroup=Pm-3m pbc="T T T"
Ba 0.000 0.000 0.000
Y 0.000 2.814 2.814
Y 2.814 0.000 2.814
Y 2.814 2.814 0.000
W 2.814 2.814 2.814



Most stable = version 2